Entry from the Alexandria database: an optimized crystal structure of Tb2NdMg (PBE-GGA).

Unit cell a=4.9417 b=4.9417 c=5.0017 alpha=90.00 beta=90.00 gamma=90.00
With the nearest neighbours (Å) after each atom.
Space group P4/mmm (No. 123)
Unique sites:
Tb 0.0000 0.5000 0.0000 x2  4 Tb 3.49, 4 Mg 3.52, 4 Nd 3.52
Nd 0.0000 0.0000 0.5000 x1  4 Mg 3.49, 8 Tb 3.52
Mg 0.5000 0.5000 0.5000 x1  4 Nd 3.49, 8 Tb 3.52

## Properties
The formation energy is 0.01 eV/atom. The energy above the most stable polymorph in this dataset comes out at 47 meV per atom.



Entry from the Alexandria database: an optimized crystal structure of PmHoIrOs (PBE-GGA).

Unit cell a=6.9103 b=6.9103 c=6.9103 alpha=90.00 beta=90.00 gamma=90.00
With the nearest neighbours (Å) after each atom.
Space group F-43m (No. 216)
Unique sites:
Pm 0.0000 0.0000 0.0000 x4  4 Ir 2.99, 4 Os 2.99
Ho 0.0000 0.0000 0.5000 x4  4 Os 2.99, 4 Ir 2.99
Ir 0.2500 0.2500 0.7500 x4  4 Ho 2.99, 4 Pm 2.99
Os 0.2500 0.2500 0.2500 x4  4 Ho 2.99, 4 Pm 2.99

## Properties
The formation energy is -0.32 eV/atom.



Entry from the Alexandria database: an optimized crystal structure of La2NiB (PBE-GGA).

Unit cell a=5.6450 b=5.6450 c=14.2597 alpha=90.00 beta=90.00 gamma=90.00
With the nearest neighbours (Å) after each atom.
Space group I-42d (No. 122)
Unique sites:
La 0.2337 0.2500 0.1250 x8  2 B 2.63, 2 Ni 2.73
Ni 0.0000 0.0000 0.5000 x4  4 La 2.73
B 0.0000 0.0000 0.0000 x4  4 La 2.63

## Properties
The formation energy is 0.53 eV/atom.



Entry from the Alexandria database: an optimized crystal structure of Na2PrPb9 (PBE-GGA).

Unit cell a=4.8913 b=4.8913 c=15.0481 alpha=90.00 beta=90.00 gamma=90.00
With the nearest neighbours (Å) after each atom.
Space group P4/mmm (No. 123)
Unique sites:
Na 0.0000 0.0000 0.1669 x2  12 Pb 3.46-3.51
Pr 0.0000 0.0000 0.5000 x1  12 Pb 3.46-3.54
Pb 0.0000 0.5000 0.0000 x2  8 Pb 3.46, 4 Na 3.51
Pb 0.0000 0.5000 0.3297 x4  8 Pb 3.46-3.54, 2 Na 3.46, 2 Pr 3.54
Pb 0.5000 0.5000 0.1626 x2  4 Na 3.46, 8 Pb 3.46-3.51
Pb 0.5000 0.5000 0.5000 x1  4 Pr 3.46, 8 Pb 3.54

## Properties
The formation energy is -0.21 eV/atom.



Number 1: magnetization 0.00 μB/atom. Number 2: magnetization 0.00 μB/atom. Number 3: magnetization 0.00 μB/atom. Number 4: magnetization 0.00 μB/atom.